[1]
BiTe2SeN: optimized geometry, GGA-PBE.

Unit cell a=5.7972 b=5.7972 c=3.7587 alpha=90.00 beta=90.00 gamma=90.00
With the nearest neighbours (Å) after each atom.
Fractional positions:
Bi1 0.0000 0.0000 0.0000  8 Te 3.45, 2 Bi 3.76
Te1 0.0000 0.5000 0.5000  2 Se 2.90
Te2 0.5000 0.0000 0.5000  2 Se 2.90
Se1 0.5000 0.5000 0.5000  2 N 1.88
N1 0.5000 0.5000 0.0000  2 Se 1.88

Output
Total moment = 0.00 μB per formula unit
E_form (uncorrected) = 776 meV per atom
Offset from the most stable computed form = 0 meV per atom

[2]
Tb2AlPd: optimized geometry, GGA-PBE.

Unit cell a=5.0810 b=5.0810 c=5.0810 alpha=60.00 beta=60.00 gamma=60.00
With the nearest neighbours (Å) after each atom.
Fractional positions:
Tb1 0.2500 0.2500 0.2500  4 Al 3.11, 4 Pd 3.11
Tb2 0.7500 0.7500 0.7500  4 Al 3.11, 4 Pd 3.11
Al1 0.0000 0.0000 0.0000  8 Tb 3.11
Pd1 0.5000 0.5000 0.5000  8 Tb 3.11

Output
Total moment = 0.00 μB per formula unit
ΔE_f = -2.256 eV/f.u.
Offset from the most stable computed form = 66 meV per atom

[3]
TmZnAg4: optimized geometry, GGA-PBE.

Unit cell a=5.5080 b=5.5080 c=5.5080 alpha=60.00 beta=60.00 gamma=60.00
With the nearest neighbours (Å) after each atom.
Fractional positions:
Tm1 0.0000 0.0000 0.0000  12 Ag 3.23, 4 Zn 3.37
Zn1 0.2500 0.2500 0.2500  12 Ag 3.23, 4 Tm 3.37
Ag1 0.1254 0.6249 0.6249  6 Ag 2.75-2.76
Ag2 0.6249 0.1254 0.6249  6 Ag 2.75-2.76
Ag3 0.6249 0.6249 0.1254  6 Ag 2.75-2.76
Ag4 0.6249 0.6249 0.6249  6 Ag 2.75-2.76

Output
Total moment = 0.00 μB per formula unit
ΔE_f = -0.500 eV/f.u.
Offset from the most stable computed form = 25 meV per atom

[4]
TbYTeO2: optimized geometry, GGA-PBE.

Unit cell a=6.8147 b=4.0920 c=7.7848 alpha=90.00 beta=106.45 gamma=90.00
With the nearest neighbours (Å) after each atom.
Fractional positions:
Tb1 0.1678 0.2500 0.4213  4 O 2.27-2.30
Tb2 0.8322 0.7500 0.5787  4 O 2.27-2.30
Y1 0.1633 0.2500 0.9112  4 O 2.24-2.29
Y2 0.8367 0.7500 0.0888  4 O 2.24-2.29
Te1 0.4520 0.7500 0.7409  3 Tb 3.19-3.38, 3 Y 3.19-3.36, 2 O 3.46-3.50
Te2 0.5480 0.2500 0.2591  3 Tb 3.19-3.38, 3 Y 3.19-3.36, 2 O 3.46-3.50
O1 0.0060 0.7500 0.8781  3 Y 2.26-2.29, 1 Tb 2.30
O2 0.0193 0.7500 0.3780  1 Y 2.24, 3 Tb 2.27-2.28
O3 0.9807 0.2500 0.6220  1 Y 2.24, 3 Tb 2.27-2.28
O4 0.9940 0.2500 0.1219  3 Y 2.26-2.29, 1 Tb 2.30

Output
Total moment = 0.00 μB per formula unit
E_form (uncorrected) = -2959 meV per atom

[5]
CdTe2Rh2: optimized geometry, GGA-PBE.

Unit cell a=8.1451 b=8.1451 c=3.1861 alpha=90.00 beta=90.00 gamma=90.00
With the nearest neighbours (Å) after each atom.
Fractional positions:
Cd1 0.0000 0.0000 0.0000  4 Te 3.10, 2 Cd 3.19
Cd2 0.5000 0.5000 0.0000  4 Te 3.10, 2 Cd 3.19
Te1 0.1509 0.3491 0.0000  6 Rh 2.76-3.04
Te2 0.3491 0.8491 0.0000  6 Rh 2.76-3.04
Te3 0.6509 0.1509 0.0000  6 Rh 2.76-3.04
Te4 0.8491 0.6509 0.0000  6 Rh 2.76-3.04
Rh1 0.1242 0.6242 0.5000  6 Te 2.76-3.04, 1 Rh 2.86
Rh2 0.3758 0.1242 0.5000  6 Te 2.76-3.04, 1 Rh 2.86
Rh3 0.6242 0.8758 0.5000  6 Te 2.76-3.04, 1 Rh 2.86
Rh4 0.8758 0.3758 0.5000  6 Te 2.76-3.04, 1 Rh 2.86

Output
Total moment = 0.00 μB per formula unit
E_form (uncorrected) = 83 meV per atom
Offset from the most stable computed form = 245 meV per atom

[6]
LaMg4Ag2: optimized geometry, GGA-PBE.

Unit cell a=8.5251 b=8.5251 c=4.5064 alpha=90.00 beta=90.00 gamma=90.00
With the nearest neighbours (Å) after each atom.
Fractional positions:
La1 0.0000 0.0000 0.0000  6 Ag 3.41-3.46, 12 Mg 3.73-3.79
La2 0.5000 0.5000 0.5000  6 Ag 3.41-3.46, 12 Mg 3.73-3.79
Mg1 0.0865 0.3379 0.5000  3 Ag 2.79-2.85, 1 Mg 3.03
Mg2 0.1621 0.5865 0.0000  3 Ag 2.79-2.85, 1 Mg 3.03
Mg3 0.3379 0.0865 0.5000  3 Ag 2.79-2.85, 1 Mg 3.03
Mg4 0.4135 0.8379 0.0000  3 Ag 2.79-2.85, 1 Mg 3.03
Mg5 0.5865 0.1621 0.0000  3 Ag 2.79-2.85, 1 Mg 3.03
Mg6 0.6621 0.9135 0.5000  3 Ag 2.79-2.85, 1 Mg 3.03
Mg7 0.8379 0.4135 0.0000  3 Ag 2.79-2.85, 1 Mg 3.03
Mg8 0.9135 0.6621 0.5000  3 Ag 2.79-2.85, 1 Mg 3.03
Ag1 0.2173 0.7827 0.5000  6 Mg 2.79-2.85
Ag2 0.2827 0.2827 0.0000  6 Mg 2.79-2.85
Ag3 0.7173 0.7173 0.0000  6 Mg 2.79-2.85
Ag4 0.7827 0.2173 0.5000  6 Mg 2.79-2.85

Output
Total moment = 0.00 μB per formula unit
ΔE_f = -1.514 eV/f.u.
Offset from the most stable computed form = 0 meV per atom

[7]
TaB3Sb: optimized geometry, GGA-PBE.

Unit cell a=4.3411 b=4.3411 c=4.3411 alpha=90.00 beta=90.00 gamma=90.00
With the nearest neighbours (Å) after each atom.
Fractional positions:
Ta1 0.0000 0.0000 0.0000  6 B 2.17
B1 0.0000 0.0000 0.5000  2 Ta 2.17
B2 0.0000 0.5000 0.0000  2 Ta 2.17
B3 0.5000 0.0000 0.0000  2 Ta 2.17
Sb1 0.5000 0.5000 0.5000  12 B 3.07

Output
Total moment = 0.00 μB per formula unit
E_form (uncorrected) = 1406 meV per atom
Offset from the most stable computed form = 0 meV per atom

[8]
CoRuSe2: optimized geometry, GGA-PBE.

Unit cell a=6.9021 b=6.9021 c=6.9021 alpha=150.68 beta=147.91 gamma=44.02
With the nearest neighbours (Å) after each atom.
Fractional positions:
Co1 0.0000 0.0000 0.0000  4 Se 2.39, 4 Ru 2.59
Ru1 0.5000 0.5000 0.0000  4 Se 2.51, 4 Co 2.59
Se1 0.1272 0.6272 0.5000  2 Co 2.39, 2 Ru 2.51
Se2 0.8728 0.3728 0.5000  2 Co 2.39, 2 Ru 2.51

Output
Total moment = 1.52 μB per formula unit
E_form (uncorrected) = -41 meV per atom
Offset from the most stable computed form = 223 meV per atom

[9]
Nd2NiH6Pd: optimized geometry, GGA-PBE.

Unit cell a=5.2513 b=5.2447 c=5.2385 alpha=60.12 beta=60.00 gamma=59.88
With the nearest neighbours (Å) after each atom.
Fractional positions:
Nd1 0.2500 0.2500 0.2500  12 H 2.62-2.63
Nd2 0.7500 0.7500 0.7500  12 H 2.62-2.63
Ni1 0.0000 0.0000 0.0000  6 H 1.73
H1 0.2330 0.2330 0.7670  1 Ni 1.73
H2 0.2334 0.7666 0.2334  1 Ni 1.73
H3 0.2339 0.7661 0.7661  1 Ni 1.73
H4 0.7661 0.2339 0.2339  1 Ni 1.73
H5 0.7666 0.2334 0.7666  1 Ni 1.73
H6 0.7670 0.7670 0.2330  1 Ni 1.73
Pd1 0.5000 0.5000 0.5000  6 H 1.97-1.98

Output
Total moment = 0.00 μB per formula unit

[10]
Ca2AcTl2Cd2: optimized geometry, GGA-PBE.

Unit cell a=9.9725 b=9.9725 c=9.9725 alpha=29.58 beta=29.58 gamma=29.58
With the nearest neighbours (Å) after each atom.
Fractional positions:
Ca1 0.1328 0.1328 0.1328  3 Cd 3.23, 3 Tl 3.41, 3 Ca 3.52
Ca2 0.8672 0.8672 0.8672  3 Cd 3.23, 3 Tl 3.41, 3 Ca 3.52
Ac1 0.0000 0.0000 0.0000  6 Tl 3.60, 2 Ca 3.80, 6 Cd 3.83
Tl1 0.2609 0.2609 0.2609  3 Cd 2.96
Tl2 0.7391 0.7391 0.7391  3 Cd 2.96
Cd1 0.4191 0.4191 0.4191  3 Tl 2.96, 3 Ca 3.23
Cd2 0.5809 0.5809 0.5809  3 Tl 2.96, 3 Ca 3.23

Output
Total moment = 0.00 μB per formula unit
ΔE_f = -1.957 eV/f.u.

[11]
PmSi2Pd2Pt: optimized geometry, GGA-PBE.

Unit cell a=9.1972 b=9.1972 c=9.1972 alpha=154.53 beta=154.53 gamma=36.33
With the nearest neighbours (Å) after each atom.
Fractional positions:
Pm1 0.0000 0.0000 0.0000  4 Pt 2.87, 2 Si 3.06
Si1 0.1750 0.1750 0.0000  4 Pd 2.41
Si2 0.8250 0.8250 0.0000  4 Pd 2.41
Pd1 0.2500 0.7500 0.5000  4 Si 2.41
Pd2 0.7500 0.2500 0.5000  4 Si 2.41
Pt1 0.5000 0.5000 0.0000  4 Pm 2.87

Output
Total moment = 0.00 μB per formula unit
E_form (uncorrected) = -213 meV per atom

[12]
Li2ZrCr: optimized geometry, GGA-PBE.

Unit cell a=4.4000 b=4.4000 c=4.4000 alpha=60.00 beta=60.00 gamma=60.00
With the nearest neighbours (Å) after each atom.
Fractional positions:
Li1 0.2500 0.2500 0.2500  4 Cr 2.69, 4 Zr 2.69
Li2 0.7500 0.7500 0.7500  4 Cr 2.69, 4 Zr 2.69
Zr1 0.0000 0.0000 0.0000  8 Li 2.69
Cr1 0.5000 0.5000 0.5000  8 Li 2.69

Output
Total moment = 0.00 μB per formula unit
ΔE_f = 2.838 eV/f.u.
Offset from the most stable computed form = 397 meV per atom

Values of uncorrected energy, in order: -3.619 -5.113 -2.942 -7.790 -4.297 -2.646 -5.795 -5.878 -4.551 -2.376 -5.550 -4.790, all in eV/atom.